VASP calculation (PBE) on a geometry-optimized Ho8Sn5Ge structure.

Raw total energy (eV/atom): -5.108

a b c (Å): 7.949 7.949 7.949
angles (deg): 109.70 109.70 109.01
Fractional positions:
Ho1 0.007 0.128 0.742
Ho2 0.227 0.479 0.606
Ho3 0.379 0.773 0.252
Ho4 0.387 0.265 0.258
Ho5 0.521 0.127 0.748
Ho6 0.735 0.993 0.121
Ho7 0.872 0.613 0.879
Ho8 0.873 0.621 0.394
Sn1 0.005 0.377 0.128
Sn2 0.123 0.995 0.372
Sn3 0.249 0.877 0.872
Sn4 0.500 0.500 0.000
Sn5 0.623 0.751 0.628
Ge1 0.750 0.250 0.500

=====

VASP calculation (PBE) on a geometry-optimized HoSnGe2 structure.

Raw total energy (eV/atom): -4.839

a b c (Å): 4.617 4.617 4.124
angles (deg): 90.00 90.00 90.00
Fractional positions:
Ho1 0.000 0.000 0.000
Sn1 0.500 0.500 0.000
Ge1 0.000 0.500 0.500
Ge2 0.500 0.000 0.500

=====

VASP calculation (PBE) on a geometry-optimized Ho3SnGe2 structure.

Raw total energy (eV/atom): -5.116

a b c (Å): 8.181 8.181 4.185
angles (deg): 90.00 90.00 149.12
Fractional positions:
Ho1 0.000 0.000 0.000
Ho2 0.171 0.829 0.500
Ho3 0.829 0.171 0.500
Sn1 0.500 0.500 0.500
Ge1 0.344 0.656 0.000
Ge2 0.656 0.344 0.000

=====

VASP calculation (PBE) on a geometry-optimized Ho5SnGe2 structure.

Raw total energy (eV/atom): -5.260

a b c (Å): 8.710 8.710 8.710
angles (deg): 126.39 126.39 79.25
Fractional positions:
Ho1 0.000 0.000 0.000
Ho2 0.014 0.514 0.813
Ho3 0.202 0.014 0.500
Ho4 0.298 0.798 0.813
Ho5 0.486 0.298 0.500
Ho6 0.500 0.500 0.000
Ho7 0.514 0.702 0.500
Ho8 0.702 0.202 0.187
Ho9 0.798 0.986 0.500
Ho10 0.986 0.486 0.187
Sn1 0.250 0.250 0.000
Sn2 0.750 0.750 0.000
Ge1 0.147 0.353 0.500
Ge2 0.353 0.853 0.206
Ge3 0.647 0.147 0.794
Ge4 0.853 0.647 0.500

=====

VASP calculation (PBE) on a geometry-optimized Ho2SnGe structure.

Raw total energy (eV/atom): -5.070

a b c (Å): 3.377 3.377 8.491
angles (deg): 90.00 90.00 90.00
Fractional positions:
Ho1 0.000 0.000 0.226
Ho2 0.000 0.000 0.774
Sn1 0.500 0.500 0.500
Ge1 0.500 0.500 0.000

=====

VASP calculation (PBE) on a geometry-optimized Ho7SnGe5 structure.

Raw total energy (eV/atom): -5.092

a b c (Å): 7.935 7.935 7.935
angles (deg): 136.67 93.13 102.59
Fractional positions:
Ho1 0.000 0.000 0.000
Ho2 0.300 0.630 0.671
Ho3 0.377 0.377 0.000
Ho4 0.426 0.090 0.336
Ho5 0.754 0.090 0.664
Ho6 0.850 0.350 0.500
Ho7 0.959 0.630 0.329
Sn1 0.685 0.685 0.000
Ge1 0.105 0.133 0.509
Ge2 0.105 0.595 0.972
Ge3 0.355 0.855 0.500
Ge4 0.624 0.133 0.028
Ge5 0.624 0.595 0.491